(1)
Computed, not measured: a relaxed GaCo2As2 crystal at the PBE level of DFT.

Unit cell a=7.108 b=7.108 c=2.841 alpha=90.00 beta=90.00 gamma=90.00
Each line ends with the local moment (μB).
Fractional positions:
As (0.152, 0.652, 0.500)  0.00
As (0.652, 0.848, 0.500)  0.01
As (0.848, 0.348, 0.500)  0.00
As (0.348, 0.152, 0.500)  0.01
Co (0.365, 0.865, 0.000)  0.39
Co (0.865, 0.635, 0.000)  0.39
Co (0.635, 0.135, 0.000)  0.39
Co (0.135, 0.365, 0.000)  0.39
Ga (0.000, 0.000, 0.000)  0.01
Ga (0.500, 0.500, 0.000)  0.01

(2)
Computed, not measured: a relaxed HPdPt2 crystal at the PBE level of DFT.

Unit cell a=2.750 b=2.750 c=6.697 alpha=90.00 beta=90.00 gamma=90.00
Fractional positions:
H (0.500, 0.500, 0.000)
Pd (0.500, 0.500, 0.500)
Pt (0.000, 0.000, 0.803)
Pt (0.000, 0.000, 0.197)

(3)
Computed, not measured: a relaxed AcLaIrAu crystal at the PBE level of DFT.

Unit cell a=5.293 b=5.293 c=5.293 alpha=60.00 beta=60.00 gamma=60.00
Fractional positions:
Ac (0.250, 0.250, 0.250)
Ir (0.500, 0.500, 0.500)
Au (0.000, 0.000, 0.000)
La (0.750, 0.750, 0.750)

(4)
Computed, not measured: a relaxed ScRh crystal at the PBE level of DFT.

Unit cell a=3.901 b=3.901 c=5.770 alpha=90.00 beta=90.00 gamma=120.00
Fractional positions:
Rh (0.000, 0.000, 0.000)
Rh (0.000, 0.000, 0.500)
Sc (0.333, 0.667, 0.250)
Sc (0.667, 0.333, 0.750)

no.,Fermi-level density of states (states/eV/cell),E (Ha/atom)
1,9.02,-0.1932
2,6.42,-0.1801
3,3.65,-0.2184
4,1.45,-0.2786